The following is a PBE calculation of a relaxed SrAg3Pd2 crystal, from the Alexandria database.

Geometry as POSCAR:
```
SrAg3Pd2
1.0
3.048 1.760 7.369
-3.048 1.760 7.369
0.000 -3.519 7.369
Sr Ag Pd
2 6 4
Direct
0.226 0.226 0.226
0.774 0.774 0.774
0.239 0.726 0.726
0.274 0.274 0.761
0.274 0.761 0.274
0.726 0.239 0.726
0.726 0.726 0.239
0.761 0.274 0.274
0.000 0.000 0.000
0.000 0.500 0.500
0.500 0.000 0.500
0.500 0.500 0.000
```

SG: R-3m (166)
Polymorph energy (0 for the lowest one), eV per formula unit: 1.284
Crystal system: trigonal

***

The following is a PBE calculation of a relaxed Sr4AgPd2 crystal, from the Alexandria database.

Geometry as POSCAR:
```
Sr4AgPd2
1.0
-4.458 5.168 5.439
4.458 -5.168 5.439
4.458 5.168 -5.439
Sr Ag Pd
8 2 4
Direct
0.219 0.252 0.532
0.219 0.687 0.968
0.282 0.230 0.053
0.323 0.770 0.553
0.677 0.230 0.447
0.718 0.770 0.947
0.781 0.313 0.032
0.781 0.748 0.468
0.023 0.773 0.250
0.977 0.227 0.750
0.000 0.500 0.500
0.500 0.000 0.000
0.500 0.500 0.000
0.500 0.500 0.500
```

SG: Imma (74)
Polymorph energy (0 for the lowest one), eV per formula unit: 0.669
Crystal system: orthorhombic

***

The following is a PBE calculation of a relaxed SrAgPd2 crystal, from the Alexandria database.

Geometry as POSCAR:
```
SrAgPd2
1.0
4.434 0.000 0.000
0.000 4.434 0.000
0.000 0.000 4.067
Sr Ag Pd
1 1 2
Direct
0.000 0.000 0.000
0.500 0.500 0.000
0.000 0.500 0.500
0.500 0.000 0.500
```

SG: P4/mmm (123)
Polymorph energy (0 for the lowest one), eV per formula unit: 0.115
Crystal system: tetragonal

***

The following is a PBE calculation of a relaxed Sr2AgPd2 crystal, from the Alexandria database.

Geometry as POSCAR:
```
Sr2AgPd2
1.0
5.154 -2.939 0.000
5.154 2.939 0.000
-2.132 0.000 8.277
Sr Ag Pd
4 2 4
Direct
0.004 0.295 0.150
0.295 0.004 0.650
0.705 0.996 0.350
0.996 0.705 0.850
0.346 0.654 0.250
0.654 0.346 0.750
0.230 0.503 0.498
0.497 0.770 0.002
0.503 0.230 0.998
0.770 0.497 0.502
```

SG: C2/c (15)
Polymorph energy (0 for the lowest one), eV per formula unit: 0.049
Crystal system: monoclinic

***

The following is a PBE calculation of a relaxed Sr3Ag4Pd2 crystal, from the Alexandria database.

Geometry as POSCAR:
```
Sr3Ag4Pd2
1.0
5.766 -2.359 0.000
5.766 2.359 0.000
-3.029 0.000 8.611
Sr Ag Pd
3 4 2
Direct
0.000 0.000 0.000
0.325 0.325 0.346
0.675 0.675 0.654
0.044 0.044 0.377
0.279 0.279 0.941
0.721 0.721 0.059
0.956 0.956 0.623
0.398 0.398 0.728
0.602 0.602 0.272
```

SG: C2/m (12)
Crystal system: monoclinic

***

The following is a PBE calculation of a relaxed SrAgPd2 crystal, from the Alexandria database.

Geometry as POSCAR:
```
SrAgPd2
1.0
2.335 1.348 4.977
-2.335 1.348 4.977
0.000 -2.696 4.977
Sr Ag Pd
1 1 2
Direct
0.000 0.000 0.000
0.500 0.500 0.500
0.198 0.198 0.198
0.802 0.802 0.802
```

SG: R-3m (166)
Polymorph energy (0 for the lowest one), eV per formula unit: 0.000
Crystal system: trigonal

***

The following ΔE_f values (in meV/atom) correspond, in order, to the records above: -100 -358 -347 -536 -372 -375.
The following total moment values (in μB per cell) correspond, in order, to the records above: 0.0 0.0 0.0 0.0 0.0 0.0.